Computed, not measured: an optimized crystal structure of Zn2FeCl at the PBE level of DFT.

Properties
As for the uncorrected formation energy: 0.6499 eV per atom. As for the density of states at the Fermi level: 2.8 states/eV/f.u. As for the total magnetization: 2.5 μB per formula unit. As for the energy: -2.564 eV/atom.

Cell lengths 6.518, 6.518, 6.518 Å; angles 90.00, 90.00, 90.00 degrees
Space group Fm-3m (No. 225)
Asymmetric unit:
Zn  0.250  0.250  0.250
Fe  0.000  0.000  0.000
Cl  0.000  0.000  0.500